Entry 1:
GGA-PBE NaSi, relaxed; magnetization = 0.0 μB per formula unit; offset from the most stable computed form = 0.216 eV/atom; V = 25.08 Å³/atom; raw formation energy = 0.2020 eV per atom
1.0
-2.015 2.791 -0.694
-2.693 -3.653 -6.873
-7.814 -4.309 5.352
Si Na
6 6
Direct
0.500 0.995 0.000
0.500 0.996 0.333
0.000 0.005 0.500
0.000 0.004 0.833
0.000 0.004 0.167
0.500 0.996 0.667
0.000 0.681 0.000
0.000 0.681 0.667
0.500 0.319 0.500
0.500 0.319 0.167
0.000 0.681 0.333
0.500 0.319 0.833

---

Entry 2:
GGA-PBE BaTmSe, relaxed; magnetization = 0.3 μB per formula unit; V = 35.65 Å³/atom; raw formation energy = -0.8788 eV per atom
1.0
4.150 0.000 0.000
-2.075 3.589 0.000
0.000 0.000 14.362
Se Tm Ba
2 2 2
Direct
0.611 0.222 0.000
0.278 0.556 0.500
0.612 0.223 0.619
0.612 0.223 0.381
0.277 0.554 0.150
0.277 0.554 0.850

---

Entry 3:
GGA-PBE Na5Re2Br12, relaxed; magnetization = 1.1 μB per formula unit; V = 34.75 Å³/atom; raw formation energy = -0.8287 eV per atom
1.0
-7.116 -0.365 -3.565
-0.547 -0.103 8.110
-4.313 10.825 -0.007
Br Na Re
12 5 2
Direct
0.619 0.222 0.786
0.987 0.674 0.619
0.856 0.190 0.050
0.623 0.751 0.879
0.381 0.778 0.214
0.377 0.249 0.121
0.144 0.810 0.950
0.040 0.151 0.742
0.556 0.777 0.554
0.960 0.849 0.258
0.013 0.326 0.381
0.444 0.223 0.446
0.785 0.537 0.445
0.215 0.463 0.555
0.000 0.000 0.500
0.304 0.959 0.660
0.696 0.041 0.340
0.651 0.038 0.934
0.349 0.962 0.066

---

Entry 4:
GGA-PBE LiTlBiPd, relaxed; magnetization = 0.0 μB per formula unit; V = 21.26 Å³/atom; calculated formation energy = -0.248 eV per atom
1.0
4.936 0.000 0.000
2.468 4.275 0.000
2.468 1.425 4.031
Pd Li Tl Bi
1 1 1 1
Direct
0.500 0.500 0.500
0.000 0.000 0.000
0.250 0.250 0.250
0.750 0.750 0.750

---

Entry 5:
GGA-PBE KCd2Ag, relaxed; magnetization = 0.0 μB per formula unit; offset from the most stable computed form = 0.000 eV/atom; V = 27.55 Å³/atom; calculated formation energy = -0.070 eV per atom
1.0
-0.481 -3.757 -3.206
-3.306 -0.709 5.168
-6.069 3.661 -3.380
Ag Cd K
2 4 2
Direct
0.781 0.563 0.750
0.219 0.437 0.250
0.641 0.282 0.440
0.641 0.282 0.060
0.359 0.718 0.940
0.359 0.718 0.560
0.069 0.138 0.750
0.931 0.862 0.250

---

Entry 6:
GGA-PBE Zn2CoAs, relaxed; magnetization = 0.0 μB per formula unit; V = 14.26 Å³/atom; calculated formation energy = 0.141 eV per atom
1.0
-4.090 -1.398 1.564
3.519 -2.785 0.993
0.462 1.490 2.540
Zn As Co
2 1 1
Direct
0.500 0.500 0.000
0.000 0.000 0.000
0.500 0.000 0.500
0.000 0.500 0.500

---

Entry 7:
GGA-PBE Li2Mg3Ga3, relaxed; magnetization = 0.0 μB per formula unit; offset from the most stable computed form = 0.018 eV/atom; V = 18.63 Å³/atom; calculated formation energy = -0.167 eV per atom
1.0
3.463 -0.002 0.002
0.000 4.644 0.167
1.729 1.470 9.322
Li Ga Mg
2 3 3
Direct
0.246 0.245 0.509
0.754 0.755 0.491
0.367 0.860 0.267
0.500 0.500 0.000
0.633 0.140 0.733
0.000 0.000 0.000
0.875 0.368 0.250
0.125 0.632 0.750

---

Entry 8:
GGA-PBE Tb6Pr3Ho2Mg, relaxed; magnetization = 0.0 μB per formula unit; V = 32.23 Å³/atom; calculated formation energy = 0.034 eV per atom
1.0
-2.591 0.065 -5.639
0.195 -5.271 3.270
-9.463 4.314 5.543
Tb Pr Ho Mg
6 3 2 1
Direct
0.588 0.920 0.757
0.080 0.412 0.243
0.920 0.588 0.757
0.412 0.080 0.243
0.252 0.252 0.756
0.748 0.748 0.244
0.500 0.500 0.500
0.834 0.166 0.500
0.166 0.834 0.500
0.334 0.666 0.000
0.666 0.334 0.000
0.000 0.000 0.000

---

Entry 9:
GGA-PBE Ca3SnRh, relaxed; magnetization = 0.0 μB per formula unit; offset from the most stable computed form = 0.196 eV/atom; V = 31.46 Å³/atom; calculated formation energy = -0.295 eV per atom
1.0
5.398 0.000 0.000
0.000 5.398 0.000
0.000 0.000 5.398
Sn Ca Rh
1 3 1
Direct
0.500 0.500 0.500
0.000 0.500 0.000
0.000 0.000 0.500
0.500 0.000 0.000
0.000 0.000 0.000

---

Entry 10:
GGA-PBE Fe6P7, relaxed; magnetization = 4.3 μB per formula unit; V = 12.68 Å³/atom; calculated formation energy = 0.332 eV per atom
1.0
-6.628 1.853 -6.319
-6.073 -2.718 -6.559
-8.714 -0.886 -3.253
Fe P
6 7
Direct
0.807 0.807 0.807
0.044 0.044 0.044
0.677 0.677 0.677
0.323 0.323 0.323
0.193 0.193 0.193
0.956 0.956 0.956
0.429 0.915 0.429
0.571 0.571 0.085
0.500 0.500 0.500
0.571 0.085 0.571
0.085 0.571 0.571
0.429 0.429 0.915
0.915 0.429 0.429

---

Entry 11:
GGA-PBE Pm2Si3AgPt4, relaxed; magnetization = 0.0 μB per formula unit; V = 18.69 Å³/atom; raw formation energy = -0.9270 eV per atom
1.0
4.291 0.000 0.000
0.000 4.291 0.000
0.000 0.000 10.148
Ag Si Pt Pm
1 3 4 2
Direct
0.500 0.500 0.500
0.000 0.500 0.123
0.000 0.000 0.500
0.500 0.000 0.877
0.500 0.500 0.000
0.500 0.000 0.648
0.000 0.000 0.000
0.000 0.500 0.352
0.500 0.000 0.253
0.000 0.500 0.747

---

Entry 12:
GGA-PBE KSe2N, relaxed; magnetization = 0.0 μB per formula unit; V = 24.88 Å³/atom; raw formation energy = 0.2881 eV per atom
1.0
6.977 0.000 0.000
0.000 6.977 0.000
3.488 3.488 4.090
N Se K
2 4 2
Direct
0.500 0.500 0.000
0.250 0.750 0.500
0.375 0.534 0.750
0.875 0.716 0.750
0.284 0.625 0.250
0.466 0.125 0.250
0.750 0.250 0.500
0.000 0.000 0.000

---

Entry 13:
GGA-PBE Rb2NpAlS4, relaxed; magnetization = 4.0 μB per formula unit; V = 32.96 Å³/atom; raw formation energy = -1.1427 eV per atom
1.0
-3.028 2.940 -6.298
-7.416 -2.691 2.310
-1.378 7.291 4.067
Np Rb S Al
2 4 8 2
Direct
0.000 0.181 0.500
0.500 0.819 0.000
0.002 0.749 0.750
0.502 0.251 0.250
0.002 0.749 0.250
0.502 0.251 0.750
0.497 0.657 0.277
0.736 0.981 0.500
0.997 0.343 0.223
0.767 0.014 0.000
0.236 0.019 0.000
0.267 0.986 0.500
0.497 0.657 0.723
0.997 0.343 0.777
0.999 0.191 0.000
0.499 0.809 0.500

---

Entry 14:
GGA-PBE LiSiNi5, relaxed; magnetization = 1.2 μB per formula unit; V = 11.68 Å³/atom; raw formation energy = -0.1117 eV per atom
1.0
3.712 0.000 0.000
0.000 3.712 0.000
0.000 0.000 5.934
Ni Si Li
5 1 1
Direct
0.000 0.500 0.223
0.000 0.500 0.777
0.500 0.000 0.777
0.500 0.000 0.223
0.500 0.500 0.500
0.500 0.500 0.000
0.000 0.000 0.500

---

Entry 15:
GGA-PBE AgPbF5, relaxed; magnetization = 0.1 μB per formula unit; V = 21.94 Å³/atom; raw formation energy = -1.6713 eV per atom
1.0
-3.168 -5.694 0.200
2.869 -1.220 -5.725
5.772 0.504 6.263
F Ag Pb
10 2 2
Direct
0.575 0.646 0.338
0.799 0.387 0.538
0.201 0.613 0.462
0.146 0.075 0.838
0.854 0.925 0.162
0.425 0.354 0.662
0.887 0.299 0.038
0.683 0.817 0.750
0.113 0.701 0.962
0.317 0.183 0.250
0.869 0.631 0.250
0.131 0.369 0.750
0.000 0.000 0.000
0.500 0.500 0.500

---

Entry 16:
GGA-PBE Dy3Y7Er, relaxed; magnetization = 0.4 μB per formula unit; offset from the most stable computed form = 0.072 eV/atom; V = 33.02 Å³/atom; calculated formation energy = 0.270 eV per atom
1.0
5.623 6.280 0.129
-5.623 6.280 0.129
0.000 2.571 5.195
Er Dy Y
1 3 7
Direct
0.500 0.500 0.500
0.792 0.208 0.000
0.208 0.792 0.000
0.000 0.000 0.500
0.207 0.207 0.793
0.793 0.793 0.207
0.400 0.994 0.303
0.006 0.600 0.697
0.600 0.006 0.697
0.994 0.400 0.303
0.500 0.500 0.000

---

Entry 17:
GGA-PBE Sm2Th2Hg7, relaxed; magnetization = 0.0 μB per formula unit; V = 31.20 Å³/atom; calculated formation energy = 0.020 eV per atom
1.0
7.033 -0.003 -0.485
0.003 7.047 0.003
-0.923 -0.003 6.989
Th Hg Sm
2 7 2
Direct
0.183 0.500 0.183
0.817 0.500 0.817
0.000 0.287 0.500
0.500 0.288 0.500
0.000 0.713 0.500
0.000 0.000 0.000
0.500 0.713 0.000
0.500 0.287 0.000
0.500 0.712 0.500
0.709 0.000 0.291
0.291 0.000 0.709

---

Entry 18:
GGA-PBE Cs2PAu, relaxed; magnetization = 0.0 μB per formula unit; V = 48.51 Å³/atom; calculated formation energy = -0.318 eV per atom
1.0
-5.991 -5.280 -0.997
1.746 -3.482 7.947
-7.969 9.049 -0.032
Au Cs P
4 8 4
Direct
0.242 0.266 0.530
0.758 0.734 0.470
0.258 0.766 0.530
0.742 0.234 0.470
0.588 0.353 0.174
0.913 0.598 0.690
0.587 0.098 0.690
0.413 0.902 0.310
0.912 0.853 0.174
0.088 0.147 0.826
0.412 0.647 0.826
0.087 0.402 0.310
0.982 0.140 0.544
0.482 0.360 0.456
0.018 0.860 0.456
0.518 0.640 0.544

---

Entry 19:
GGA-PBE PaNb3, relaxed; magnetization = 0.0 μB per formula unit; offset from the most stable computed form = 0.000 eV/atom; V = 19.73 Å³/atom; calculated formation energy = 0.006 eV per atom
1.0
-1.214 -0.804 -4.589
-1.445 -4.382 -1.375
-4.608 -0.757 -1.174
Nb Pa
3 1
Direct
0.750 0.750 0.750
0.250 0.250 0.250
0.000 0.000 0.000
0.500 0.500 0.500

---

Entry 20:
GGA-PBE Na2SrCdSe, relaxed; magnetization = 0.0 μB per formula unit; V = 36.90 Å³/atom; raw formation energy = -0.1121 eV per atom
1.0
-4.141 -2.159 2.603
4.074 -2.887 4.089
-0.204 4.267 3.215
Cd Na Sr Se
1 2 1 1
Direct
0.000 0.000 0.000
0.500 0.000 0.000
0.000 0.000 0.500
0.000 0.500 0.000
0.500 0.500 0.500

---

Entry 21:
GGA-PBE CaNbGeTeP, relaxed; magnetization = 0.0 μB per formula unit; offset from the most stable computed form = 0.011 eV/atom; V = 22.76 Å³/atom; raw formation energy = -0.5951 eV per atom
1.0
3.817 0.000 0.001
0.000 3.760 0.000
-0.092 0.000 15.857
Te Ge P Ca Nb
2 2 2 2 2
Direct
0.055 0.000 0.994
0.055 0.500 0.494
0.051 0.000 0.343
0.051 0.500 0.843
0.548 0.500 0.727
0.548 0.000 0.227
0.046 0.500 0.157
0.046 0.000 0.657
0.551 0.000 0.853
0.551 0.500 0.353

---

Entry 22:
GGA-PBE URe2B, relaxed; magnetization = 0.0 μB per formula unit; offset from the most stable computed form = 0.000 eV/atom; V = 14.79 Å³/atom; calculated formation energy = -0.101 eV per atom
1.0
-0.108 2.441 -1.890
-4.808 -2.344 -0.229
-2.354 4.277 5.657
Re U B
4 2 2
Direct
0.349 0.699 0.550
0.651 0.301 0.050
0.349 0.699 0.950
0.651 0.301 0.450
0.948 0.895 0.250
0.052 0.105 0.750
0.228 0.455 0.250
0.772 0.545 0.750

---

Entry 23:
GGA-PBE CdHg2Pb, relaxed; magnetization = 0.0 μB per formula unit; V = 26.65 Å³/atom; calculated formation energy = 0.037 eV per atom
1.0
-3.901 0.612 -0.306
-0.193 -2.680 -2.910
-1.127 -4.892 4.580
Hg Pb Cd
2 1 1
Direct
0.500 0.500 0.232
0.000 0.000 0.997
0.000 0.000 0.501
0.500 0.500 0.770

---

Number 1: VASP energy -38.0 eV per cell. Number 2: VASP energy -25.0 eV per cell. Number 3: VASP energy -67.3 eV per cell. Number 4: VASP energy -14.3 eV per cell. Number 5: VASP energy -12.1 eV per cell. Number 6: VASP energy -13.7 eV per cell. Number 7: VASP energy -19.0 eV per cell. Number 8: VASP energy -52.5 eV per cell. Number 9: VASP energy -18.8 eV per cell. Number 10: VASP energy -84.3 eV per cell. Number 11: VASP energy -62.1 eV per cell. Number 12: VASP energy -30.5 eV per cell. Number 13: VASP energy -88.5 eV per cell. Number 14: VASP energy -37.0 eV per cell. Number 15: VASP energy -55.2 eV per cell. Number 16: VASP energy -60.6 eV per cell. Number 17: VASP energy -26.2 eV per cell. Number 18: VASP energy -46.7 eV per cell. Number 19: VASP energy -39.7 eV per cell. Number 20: VASP energy -9.3 eV per cell. Number 21: VASP energy -56.4 eV per cell. Number 22: VASP energy -86.5 eV per cell. Number 23: VASP energy -5.1 eV per cell.